[1]
LuMgTi4, relaxed, DFT PBE; crystal system = cubic; uncorrected energy = -0.4455 Ry per atom; symmetry = F-43m
1.0
0.000 3.956 3.956
3.956 0.000 3.956
3.956 3.956 0.000
Lu Mg Ti
1 1 4
Cartesian
0.000 0.000 0.000 Lu
1.978 1.978 1.978 Mg
4.965 2.948 2.948 Ti
2.948 4.965 2.948 Ti
2.948 2.948 4.965 Ti
4.965 4.965 4.965 Ti



[2]
LuMg4Ti, relaxed, DFT PBE; crystal system = cubic; uncorrected energy = -0.2196 Ry per atom; symmetry = F-43m
1.0
0.000 4.098 4.098
4.098 0.000 4.098
4.098 4.098 0.000
Lu Mg Ti
1 4 1
Cartesian
0.000 0.000 0.000 Lu
3.078 3.078 3.078 Mg
5.118 5.118 3.078 Mg
5.118 3.078 5.118 Mg
3.078 5.118 5.118 Mg
6.147 6.147 6.147 Ti



[3]
LuMg2Ti, relaxed, DFT PBE; crystal system = tetragonal; uncorrected energy = -0.2768 Ry per atom; symmetry = P4/mmm
1.0
3.497 0.000 0.000
0.000 3.497 0.000
0.000 0.000 7.281
Lu Mg Ti
1 2 1
Cartesian
0.000 0.000 0.000 Lu
1.749 1.749 2.035 Mg
1.749 1.749 5.246 Mg
0.000 0.000 3.640 Ti



[4]
LuMgTi, relaxed, DFT PBE; crystal system = trigonal; uncorrected energy = -0.3315 Ry per atom; symmetry = P3m1
1.0
3.179 0.000 0.000
-1.589 2.753 0.000
0.000 0.000 7.848
Lu Mg Ti
1 1 1
Cartesian
0.000 0.000 0.000 Lu
1.589 0.918 2.905 Mg
0.000 1.835 5.419 Ti



| no. | M_tot (μB per cell) |
| --- | --- |
| 1 | 3.77 |
| 2 | 2.92 |
| 3 | 0.02 |
| 4 | 0.00 |